First-principles (meta-GGA SCAN) data for Ca3HgS at its PBEsol-relaxed geometry, as listed in Alexandria via LeMat-Bulk.

Values from the calculation:
* E: -21.727 eV per atom
* density of states at the Fermi level: 3.33 states/eV per cell

```
data_Ca3HgS
_cell_length_a 5.6091
_cell_length_b 5.6091
_cell_length_c 5.6091
_cell_angle_alpha 90.00
_cell_angle_beta 90.00
_cell_angle_gamma 90.00
_symmetry_space_group_name_H-M 'P m -3 m'
_symmetry_Int_Tables_number 221
_symmetry_space_group_name_Hall '-P 4 2 3'
loop_
_atom_site_label
_atom_site_type_symbol
_atom_site_fract_x
_atom_site_fract_y
_atom_site_fract_z
Ca1 Ca 0.0000 0.0000 0.5000
Hg1 Hg 0.0000 0.0000 0.0000
S1 S 0.5000 0.5000 0.5000
```

First-principles (meta-GGA SCAN) data for CaHgS2 at its PBEsol-relaxed geometry, as listed in Alexandria via LeMat-Bulk.

Values from the calculation:
* E: -25.381 eV per atom
* density of states at the Fermi level: 0.00 states/eV per cell

```
data_CaHgS2
_cell_length_a 6.0377
_cell_length_b 6.0377
_cell_length_c 12.1521
_cell_angle_alpha 90.00
_cell_angle_beta 90.00
_cell_angle_gamma 90.00
_symmetry_space_group_name_H-M 'I -4 2 d'
_symmetry_Int_Tables_number 122
_symmetry_space_group_name_Hall 'I -4 2bw'
loop_
_atom_site_label
_atom_site_type_symbol
_atom_site_fract_x
_atom_site_fract_y
_atom_site_fract_z
Ca1 Ca 0.0000 0.0000 0.0000
Hg1 Hg 0.0000 0.0000 0.5000
S1 S 0.2304 0.2500 0.6250
```

First-principles (meta-GGA SCAN) data for CaHgS2 at its PBEsol-relaxed geometry, as listed in Alexandria via LeMat-Bulk.

Values from the calculation:
* E: -25.519 eV per atom
* density of states at the Fermi level: 0.00 states/eV per cell

```
data_CaHgS2
_cell_length_a 4.2880
_cell_length_b 4.2880
_cell_length_c 21.8332
_cell_angle_alpha 90.00
_cell_angle_beta 90.00
_cell_angle_gamma 120.00
_symmetry_space_group_name_H-M 'R -3 m'
_symmetry_Int_Tables_number 166
_symmetry_space_group_name_Hall '-R 3 2"'
loop_
_atom_site_label
_atom_site_type_symbol
_atom_site_fract_x
_atom_site_fract_y
_atom_site_fract_z
Ca1 Ca 0.0000 0.0000 0.0000
Hg1 Hg 0.0000 0.0000 0.5000
S1 S 0.0000 0.0000 0.3945
```

First-principles (meta-GGA SCAN) data for CaHgSb2 at its PBEsol-relaxed geometry, as listed in Alexandria via LeMat-Bulk.

Values from the calculation:
* E: -38.554 eV per atom
* density of states at the Fermi level: 1.75 states/eV per cell

```
data_CaHgSb2
_cell_length_a 4.5649
_cell_length_b 4.5649
_cell_length_c 4.9127
_cell_angle_alpha 90.00
_cell_angle_beta 90.00
_cell_angle_gamma 90.00
_symmetry_space_group_name_H-M 'P 4/m m m'
_symmetry_Int_Tables_number 123
_symmetry_space_group_name_Hall '-P 4 2'
loop_
_atom_site_label
_atom_site_type_symbol
_atom_site_fract_x
_atom_site_fract_y
_atom_site_fract_z
Ca1 Ca 0.0000 0.0000 0.0000
Hg1 Hg 0.5000 0.5000 0.0000
Sb1 Sb 0.0000 0.5000 0.5000
```

First-principles (meta-GGA SCAN) data for CaHgSb2 at its PBEsol-relaxed geometry, as listed in Alexandria via LeMat-Bulk.

Values from the calculation:
* E: -38.505 eV per atom
* density of states at the Fermi level: 2.78 states/eV per cell

```
data_CaHgSb2
_cell_length_a 11.1777
_cell_length_b 4.0513
_cell_length_c 4.8884
_cell_angle_alpha 90.00
_cell_angle_beta 109.58
_cell_angle_gamma 90.00
_symmetry_space_group_name_H-M 'C 1 m 1'
_symmetry_Int_Tables_number 8
_symmetry_space_group_name_Hall 'C -2y'
loop_
_atom_site_label
_atom_site_type_symbol
_atom_site_fract_x
_atom_site_fract_y
_atom_site_fract_z
Ca1 Ca 0.0000 0.0000 0.0000
Hg1 Hg 0.2915 0.5000 0.3534
Sb1 Sb 0.0415 0.5000 0.5264
Sb2 Sb 0.2518 0.0000 0.8564
```

First-principles (meta-GGA SCAN) data for CaSc2Hg at its PBEsol-relaxed geometry, as listed in Alexandria via LeMat-Bulk.

Values from the calculation:
* ΔH_f (0 K): -0.056 eV per atom
* E: -26.632 eV per atom
* density of states at the Fermi level: 11.27 states/eV per cell

```
data_CaSc2Hg
_cell_length_a 6.1995
_cell_length_b 10.8728
_cell_length_c 3.2465
_cell_angle_alpha 90.00
_cell_angle_beta 117.13
_cell_angle_gamma 90.00
_symmetry_space_group_name_H-M 'C 1 2/m 1'
_symmetry_Int_Tables_number 12
_symmetry_space_group_name_Hall '-C 2y'
loop_
_atom_site_label
_atom_site_type_symbol
_atom_site_fract_x
_atom_site_fract_y
_atom_site_fract_z
Ca1 Ca 0.0000 0.0000 0.0000
Sc1 Sc 0.2500 0.2500 0.5000
Hg1 Hg 0.0000 0.5000 0.0000
```

First-principles (meta-GGA SCAN) data for Ca2Sc2Hg at its PBEsol-relaxed geometry, as listed in Alexandria via LeMat-Bulk.

Values from the calculation:
* ΔH_f (0 K): 0.051 eV per atom
* E: -23.142 eV per atom
* density of states at the Fermi level: 6.38 states/eV per cell

```
data_Ca2Sc2Hg
_cell_length_a 3.9256
_cell_length_b 3.9256
_cell_length_c 18.9185
_cell_angle_alpha 90.00
_cell_angle_beta 90.00
_cell_angle_gamma 90.00
_symmetry_space_group_name_H-M 'I 4/m m m'
_symmetry_Int_Tables_number 139
_symmetry_space_group_name_Hall '-I 4 2'
loop_
_atom_site_label
_atom_site_type_symbol
_atom_site_fract_x
_atom_site_fract_y
_atom_site_fract_z
Ca1 Ca 0.0000 0.0000 0.0926
Sc1 Sc 0.0000 0.5000 0.2500
Hg1 Hg 0.0000 0.0000 0.5000
```

First-principles (meta-GGA SCAN) data for CaScHg3 at its PBEsol-relaxed geometry, as listed in Alexandria via LeMat-Bulk.

Values from the calculation:
* ΔH_f (0 K): 0.422 eV per atom
* E: -45.258 eV per atom
* density of states at the Fermi level: 4.83 states/eV per cell

```
data_CaScHg3
_cell_length_a 5.3609
_cell_length_b 5.3609
_cell_length_c 5.3609
_cell_angle_alpha 90.00
_cell_angle_beta 90.00
_cell_angle_gamma 90.00
_symmetry_space_group_name_H-M 'P m -3 m'
_symmetry_Int_Tables_number 221
_symmetry_space_group_name_Hall '-P 4 2 3'
loop_
_atom_site_label
_atom_site_type_symbol
_atom_site_fract_x
_atom_site_fract_y
_atom_site_fract_z
Ca1 Ca 0.0000 0.0000 0.0000
Sc1 Sc 0.5000 0.5000 0.5000
Hg1 Hg 0.0000 0.0000 0.5000
```